(1)
Ag3TeSe | Alexandria via LeMat-Bulk | GGA-PBE | relaxed; mass density = 6.1 g/cm3; energy above the lowest structure with this stoichiometry = 48 meV per atom
1.0
-6.5490 -1.4718 -0.8553
0.0458 -4.4210 -5.1161
-0.6896 -5.9911 3.0886
Ag Te Se
6 2 2
Cartesian
-2.2667 -6.1744 0.7884
-1.8903 -5.3939 -3.3364
-1.9846 -7.9776 -1.6816
-5.3026 -6.4900 0.4535
-4.9263 -5.7095 -3.6714
-5.2083 -3.9063 -1.2013
-2.5803 -4.2635 -1.0329
-4.6127 -7.6204 -1.8500
-1.0867 -1.7953 -0.4359
-6.1062 -10.0885 -2.4470

***

(2)
AgTe2Se | Alexandria via LeMat-Bulk | GGA-PBE | relaxed; mass density = 5.7 g/cm3; electronic total energy = -11.607 eV per cell
1.0
6.0404 -0.1614 0.1221
-0.6199 6.0106 -0.1221
-0.7130 -4.7754 3.6351
Ag Se Te
1 1 2
Cartesian
0.6887 2.0799 1.7565
4.0188 -1.0061 1.8786
0.0114 0.0123 0.0000
2.6988 2.9123 0.0000

***

(3)
AgTe2Se | Alexandria via LeMat-Bulk | GGA-PBE | relaxed; mass density = 6.9 g/cm3; electronic total energy = -12.323 eV per cell
1.0
4.3138 -0.0070 -0.0191
2.2706 3.6679 -0.0191
1.9940 1.1087 6.6648
Ag Se Te
1 1 2
Cartesian
6.4339 3.5771 4.9699
2.1446 1.1924 1.6566
2.1864 1.2156 6.5324
4.0969 2.2778 3.4457

***

(4)
AgTeSe2 | Alexandria via LeMat-Bulk | GGA-PBE | relaxed; mass density = 5.7 g/cm3; electronic total energy = -25.866 eV per cell
1.0
-0.4720 -3.8908 -0.0113
1.7518 -0.1933 -7.1550
7.6223 -0.9290 1.8921
Ag Te Se
2 2 4
Cartesian
7.3610 -1.6722 -4.6899
3.6218 -3.2003 -1.7692
3.8375 -1.2443 -5.6580
7.1915 -3.6376 -0.9777
1.9191 -2.9911 -3.7405
5.9782 -3.4833 -3.2449
4.2066 -1.3031 0.0565
0.4067 -0.8430 -0.3730

***

(5)
AgTeSe2 | Alexandria via LeMat-Bulk | GGA-PBE | relaxed; mass density = 5.4 g/cm3; electronic total energy = -24.963 eV per cell
1.0
5.7287 0.0000 0.0000
0.0000 5.7287 0.0000
2.8644 2.8644 7.4307
Te Se Ag
2 4 2
Cartesian
0.0000 0.0000 0.0000
5.7287 2.8644 3.7154
4.2647 1.4322 1.8577
1.4641 4.2965 1.8577
4.2965 4.3284 5.5731
7.1609 7.1290 5.5731
2.8644 2.8644 0.0000
2.8644 5.7287 3.7154

***

(6)
AgTeSe2 | Alexandria via LeMat-Bulk | GGA-PBE | relaxed; mass density = 6.4 g/cm3; electronic total energy = -12.958 eV per cell
1.0
-3.8264 0.1780 -1.5468
-1.1939 -2.9698 2.6116
-1.4376 4.1224 4.0307
Te Se Ag
1 2 1
Cartesian
-0.5732 1.6436 1.6070
-1.1931 3.4213 3.3452
-3.0351 0.1094 2.0042
-3.8129 2.3398 4.1850